A relaxed In2Ni2Br crystal, computed with GGA-PBEsol.

Structure (POSCAR):
```
In2Ni2Br
1.0
4.179 0.000 0.000
0.000 4.179 0.000
0.000 0.000 11.018
In Ni Br
4 4 2
direct
0.000 0.500 0.250
0.000 0.500 0.750
0.500 0.000 0.250
0.500 0.000 0.750
0.000 0.000 0.108
0.000 0.000 0.892
0.500 0.500 0.392
0.500 0.500 0.608
0.000 0.000 0.500
0.500 0.500 0.000
```

Results
Total DFT energy (no corrections)   -0.1389 Ha/atom
Density of states at the Fermi level   6.06 states/eV/cell
M_tot   0.00 μB/f.u.